An optimized crystal structure of Ta3Nb6Ru. Source: the Alexandria database, functional PBE.

abc: 7.2667 6.8336 9.4450
angles: 90.00 127.43 90.00
With the nearest neighbours (Å) after each atom.
Sites, in units of the cell vectors:
Ta: 0.0000 0.0000 0.0000  4 Nb 2.75-2.78
Ta: 0.0000 0.5000 0.5000  4 Nb 2.75-2.78
Ta: 0.2898 0.1515 0.4469  1 Ru 2.71, 9 Nb 2.80-3.01
Ta: 0.2898 0.3485 0.9469  1 Ru 2.71, 9 Nb 2.80-3.01
Ta: 0.7102 0.6515 0.0531  1 Ru 2.71, 9 Nb 2.80-3.01
Ta: 0.7102 0.8485 0.5531  1 Ru 2.71, 9 Nb 2.80-3.01
Nb: 0.0880 0.1224 0.6351  3 Nb 2.64-2.88, 3 Ta 2.78-2.92
Nb: 0.0880 0.3776 0.1351  3 Nb 2.64-2.88, 3 Ta 2.78-2.92
Nb: 0.2045 0.7384 0.7935  1 Ru 2.55, 2 Nb 2.68-2.71, 1 Ta 2.75
Nb: 0.2045 0.7616 0.2935  1 Ru 2.55, 2 Nb 2.68-2.71, 1 Ta 2.75
Nb: 0.4728 0.6518 0.2008  2 Nb 2.68-2.99, 3 Ta 2.80-2.98, 1 Ru 2.90
Nb: 0.4728 0.8482 0.7008  2 Nb 2.68-2.99, 3 Ta 2.80-2.98, 1 Ru 2.90
Nb: 0.5272 0.1518 0.2992  2 Nb 2.68-2.99, 3 Ta 2.80-2.98, 1 Ru 2.90
Nb: 0.5272 0.3482 0.7992  2 Nb 2.68-2.99, 3 Ta 2.80-2.98, 1 Ru 2.90
Nb: 0.7955 0.2384 0.7065  1 Ru 2.55, 2 Nb 2.68-2.71, 1 Ta 2.75
Nb: 0.7955 0.2616 0.2065  1 Ru 2.55, 2 Nb 2.68-2.71, 1 Ta 2.75
Nb: 0.9120 0.6224 0.8649  3 Nb 2.64-2.88, 3 Ta 2.78-2.92
Nb: 0.9120 0.8776 0.3649  3 Nb 2.64-2.88, 3 Ta 2.78-2.92
Ru: 0.5000 0.0000 0.0000  2 Nb 2.55, 2 Ta 2.71
Ru: 0.5000 0.5000 0.5000  2 Nb 2.55, 2 Ta 2.71

Calculated values
DOS at the Fermi energy = 10.5 states/eV/f.u.
calculated density = 10.7 g cm⁻³
symmetry = P2_1/c (14)
crystal system = monoclinic
final energy = -0.3795 hartree per atom
energy of formation from the pure elements = 19 kJ/mol of atoms